Entry 1:
This record from Alexandria via LeMat-Bulk describes crystalline NdDyPb2 at its relaxed geometry. The functional is PBE.

Results
As for the crystal system: trigonal. As for the formation energy: -0.34 eV per atom. As for the space group: No. 160.

The structure in extended XYZ format:
```
4
Lattice="-0.603 -4.624 -1.209 2.317 -1.815 -3.813 5.796 -3.872 2.322" Properties=species:S:1:pos:R:3 pbc="T T T"
Pb 4.415 -3.416 1.266
Pb 1.931 -2.595 -0.634
Dy 3.849 -5.186 -1.278
Nd 6.866 -8.141 -1.081
```

Entry 2:
This record from Alexandria via LeMat-Bulk describes crystalline Nd6DyPb10 at its relaxed geometry. The functional is PBE.

Results
As for the crystal system: trigonal. As for the formation energy: -0.41 eV per atom. As for the space group: No. 162.

The structure in extended XYZ format:
```
17
Lattice="6.593 0.000 0.000 0.000 8.304 -4.794 0.000 0.000 9.588" Properties=species:S:1:pos:R:3 pbc="T T T"
Nd 4.850 5.078 -2.932
Nd 4.850 0.000 5.864
Nd 1.743 3.225 -1.862
Nd 4.850 3.225 1.862
Nd 1.743 0.000 3.724
Nd 1.743 5.078 2.932
Pb 3.297 2.768 4.794
Pb 1.341 0.000 7.110
Pb 0.000 5.536 0.000
Pb 5.252 6.157 3.555
Pb 3.297 5.536 0.000
Pb 1.341 2.146 1.239
Pb 5.252 0.000 2.478
Pb 1.341 6.157 -3.555
Pb 5.252 2.146 -1.239
Pb 0.000 2.768 4.794
Dy 3.297 0.000 0.000
```

Entry 3:
This record from Alexandria via LeMat-Bulk describes crystalline Pm3Nd2Dy6Pb at its relaxed geometry. The functional is PBE.

Results
As for the crystal system: monoclinic. As for the formation energy: -0.07 eV per atom. As for the space group: No. 12.

The structure in extended XYZ format:
```
12
Lattice="6.166 -0.001 0.009 -3.082 5.340 0.009 -1.051 -1.819 11.630" Properties=species:S:1:pos:R:3 pbc="T T T"
Nd 3.079 1.781 0.009
Nd 0.004 3.557 0.009
Dy 0.028 3.532 8.763
Dy -1.013 1.731 2.885
Dy 2.005 -0.012 2.885
Dy 2.070 3.585 2.908
Dy 3.045 1.789 8.763
Dy -0.038 -0.066 8.740
Pm 1.016 1.760 5.824
Pm 4.088 -0.014 5.824
Pm -2.055 3.533 5.824
Pb 0.000 0.000 0.000
```

Entry 4:
This record from Alexandria via LeMat-Bulk describes crystalline PmNdDyPb at its relaxed geometry. The functional is PBE.

Results
As for the crystal system: cubic. As for the formation energy: -0.15 eV per atom. As for the space group: No. 216.

The structure in extended XYZ format:
```
4
Lattice="5.581 0.000 0.000 2.791 4.834 0.000 2.791 1.611 4.557" Properties=species:S:1:pos:R:3 pbc="T T T"
Pm 0.000 0.000 0.000
Dy 8.372 4.834 3.418
Pb 2.791 1.611 1.139
Nd 5.581 3.222 2.279
```

Entry 5:
This record from Alexandria via LeMat-Bulk describes crystalline Pr2Nd3Dy6Pb at its relaxed geometry. The functional is PBE.

Results
As for the crystal system: monoclinic. As for the formation energy: -0.07 eV per atom. As for the space group: No. 12.

The structure in extended XYZ format:
```
12
Lattice="6.187 -0.001 0.009 -3.093 5.359 0.009 -1.053 -1.823 11.667" Properties=species:S:1:pos:R:3 pbc="T T T"
Pr 3.091 1.787 0.009
Pr 0.003 3.571 0.009
Nd 4.102 -0.012 5.843
Nd 1.021 1.768 5.843
Nd -2.061 3.547 5.843
Dy 2.011 -0.012 2.893
Dy -1.015 1.736 2.893
Dy 3.057 1.800 8.792
Dy 0.031 3.547 8.792
Dy -0.038 -0.066 8.772
Dy 2.080 3.601 2.913
Pb 0.000 0.000 0.000
```

Entry 6:
This record from Alexandria via LeMat-Bulk describes crystalline PrNdDyPb at its relaxed geometry. The functional is PBE.

Results
As for the crystal system: cubic. As for the formation energy: -0.15 eV per atom. As for the space group: No. 216.

The structure in extended XYZ format:
```
4
Lattice="-4.545 -3.081 -1.175 0.194 -5.591 0.491 -2.808 -2.554 4.138" Properties=species:S:1:pos:R:3 pbc="T T T"
Dy 0.000 0.000 0.000
Nd -5.369 -8.419 2.591
Pr -1.790 -2.806 0.864
Pb -3.580 -5.613 1.727
```

Entry 7:
This record from Alexandria via LeMat-Bulk describes crystalline Pr3Nd2Dy6Pb at its relaxed geometry. The functional is PBE.

Results
As for the crystal system: monoclinic. As for the formation energy: -0.07 eV per atom. As for the space group: No. 12.

The structure in extended XYZ format:
```
12
Lattice="-4.938 3.736 -0.211 -0.047 -5.373 -3.084 -2.770 -4.792 10.478" Properties=species:S:1:pos:R:3 pbc="T T T"
Nd -3.305 0.695 -1.170
Nd -1.680 -2.332 -2.125
Pr -3.878 -3.215 3.592
Pr -5.501 -0.191 4.545
Pr -2.255 -6.238 2.638
Dy -1.104 -3.064 1.303
Dy -6.651 -3.365 5.880
Dy -2.698 -0.095 2.240
Dy -5.057 -6.334 4.944
Dy -4.454 -2.422 0.098
Dy -3.302 -4.007 7.086
Pb 0.000 0.000 0.000
```

Entry 8:
This record from Alexandria via LeMat-Bulk describes crystalline NdDyPtPb at its relaxed geometry. The functional is PBE.

Results
As for the crystal system: cubic. As for the formation energy: -0.70 eV per atom. As for the space group: No. 216.

The structure in extended XYZ format:
```
4
Lattice="5.272 0.000 0.000 2.636 4.566 0.000 2.636 1.522 4.305" Properties=species:S:1:pos:R:3 pbc="T T T"
Pb 0.000 0.000 0.000
Dy 2.636 1.522 1.076
Pt 5.272 3.044 2.152
Nd 7.908 4.566 3.228
```

Entry 9:
This record from Alexandria via LeMat-Bulk describes crystalline NdDy4PbS8 at its relaxed geometry. The functional is PBE.

Results
As for the crystal system: trigonal. The value obtained for the uncorrected formation energy is -1761 meV/atom. As for the space group: No. 160.

The structure in extended XYZ format:
```
14
Lattice="-5.146 5.329 -3.374 -6.608 -2.659 -3.941 -7.462 1.128 3.345" Properties=species:S:1:pos:R:3 pbc="T T T"
S -8.280 1.469 0.654
S -11.876 0.021 -1.490
S -11.081 4.369 -1.182
S -10.823 2.308 -4.619
S -4.965 0.960 -0.730
S -8.132 -0.478 -2.855
S -14.329 2.843 -3.113
S -7.368 3.698 -2.559
Dy -3.766 0.571 1.668
Dy -7.024 -0.740 -0.275
Dy -6.303 3.198 0.004
Dy -8.269 1.809 -4.168
Pb -10.955 1.989 0.213
Nd -7.441 1.127 3.310
```

Entry 10:
This record from Alexandria via LeMat-Bulk describes crystalline NdDyPbSe at its relaxed geometry. The functional is PBE.

Results
As for the crystal system: tetragonal. The value obtained for the uncorrected formation energy is -1124 meV/atom. As for the space group: No. 123.

The structure in extended XYZ format:
```
4
Lattice="-3.761 -0.402 -2.205 2.231 -0.233 -3.763 0.317 -6.082 0.567" Properties=species:S:1:pos:R:3 pbc="T T T"
Nd -0.978 -0.855 -2.523
Pb 2.018 -0.769 -3.302
Dy 2.177 -3.810 -3.019
Se -0.819 -3.895 -2.240
```

Entry 11:
This record from Alexandria via LeMat-Bulk describes crystalline Nd3Sm6Dy2Pb at its relaxed geometry. The functional is PBE.

Results
As for the crystal system: monoclinic. As for the formation energy: -0.05 eV per atom. As for the space group: No. 12.

The structure in extended XYZ format:
```
12
Lattice="-5.945 1.811 -0.636 1.428 -6.080 0.138 0.284 1.421 11.773" Properties=species:S:1:pos:R:3 pbc="T T T"
Nd -2.116 -1.424 5.638
Nd -4.553 1.184 5.382
Nd 0.321 -4.032 5.894
Sm -0.892 0.025 8.748
Sm 0.169 -1.981 2.875
Sm -2.235 0.591 2.623
Sm -1.998 -3.438 8.652
Sm -3.340 -2.873 2.527
Sm -4.401 -0.867 8.400
Dy -3.477 -0.830 -0.377
Dy -1.040 -3.439 -0.121
Pb 0.000 0.000 0.000
```

Entry 12:
This record from Alexandria via LeMat-Bulk describes crystalline NdDySnPb at its relaxed geometry. The functional is PBE.

Results
As for the crystal system: cubic. As for the formation energy: -0.48 eV per atom. As for the space group: No. 216.

The structure in extended XYZ format:
```
4
Lattice="-0.761 -5.361 0.829 1.846 -2.351 4.590 -3.539 -1.706 3.817" Properties=species:S:1:pos:R:3 pbc="T T T"
Pb -1.841 -7.063 6.927
Sn -0.614 -2.354 2.309
Nd 0.000 0.000 0.000
Dy -1.227 -4.709 4.618
```

Entry 13:
This record from Alexandria via LeMat-Bulk describes crystalline Tb6Nd3Dy2Pb at its relaxed geometry. The functional is PBE.

Results
As for the crystal system: monoclinic. As for the formation energy: -0.05 eV per atom. As for the space group: No. 12.

The structure in extended XYZ format:
```
12
Lattice="-5.312 -3.065 -0.779 4.223 0.067 -4.514 5.217 -8.518 6.176" Properties=species:S:1:pos:R:3 pbc="T T T"
Tb 1.562 -9.217 1.279
Tb 4.680 -8.192 0.057
Tb -0.552 -3.323 0.825
Tb 0.463 -4.355 -2.470
Tb 2.567 -2.298 -0.396
Tb 3.666 -7.161 3.353
Nd 2.064 -5.758 0.441
Nd 5.226 -4.719 -0.797
Nd -1.098 -6.796 1.680
Dy -2.125 -2.018 -2.028
Dy 1.036 -0.980 -3.266
Pb 0.000 0.000 0.000
```

Entry 14:
This record from Alexandria via LeMat-Bulk describes crystalline Tb6Nd2Dy3Pb at its relaxed geometry. The functional is PBE.

Results
As for the crystal system: monoclinic. As for the formation energy: -0.07 eV per atom. As for the space group: No. 12.

The structure in extended XYZ format:
```
12
Lattice="6.127 -0.002 0.009 -3.064 5.306 0.009 -1.043 -1.806 11.619" Properties=species:S:1:pos:R:3 pbc="T T T"
Tb -1.008 1.721 2.919
Tb 0.026 3.510 8.717
Tb -0.036 -0.062 8.693
Tb 3.028 1.777 8.717
Tb 2.056 3.560 2.943
Tb 1.994 -0.013 2.919
Dy -2.045 3.513 5.818
Dy 4.065 -0.016 5.818
Dy 1.010 1.749 5.818
Nd 0.005 3.533 0.009
Nd 3.058 1.770 0.009
Pb 0.000 0.000 0.000
```

Entry 15:
This record from Alexandria via LeMat-Bulk describes crystalline NdDyPd at its relaxed geometry. The functional is PBE.

Results
As for the crystal system: monoclinic. The energy above the most stable polymorph in this dataset is 0.106 eV/atom. As for the formation energy: -0.43 eV per atom. As for the space group: No. 14.

The structure in extended XYZ format:
```
12
Lattice="-0.520 -5.690 -2.975 -0.875 -3.202 6.277 -7.415 1.308 -1.205" Properties=species:S:1:pos:R:3 pbc="T T T"
Nd -5.140 -5.077 -1.258
Nd -7.044 -1.399 -0.985
Nd -1.765 -6.185 3.083
Nd -3.669 -2.507 3.356
Pd -2.198 -3.351 5.702
Pd -3.163 -4.534 1.158
Pd -5.646 -3.050 0.939
Pd -6.612 -4.232 -3.604
Dy -1.513 -5.689 -0.698
Dy -3.255 -2.075 -0.330
Dy -5.555 -5.508 2.427
Dy -7.297 -1.895 2.795
```

Entry 16:
This record from Alexandria via LeMat-Bulk describes crystalline Nd2DyPd at its relaxed geometry. The functional is PBE.

Results
As for the crystal system: trigonal. The energy above the most stable polymorph in this dataset is 0.159 eV/atom. As for the formation energy: -0.24 eV per atom. As for the space group: No. 166.

The structure in extended XYZ format:
```
4
Lattice="-0.853 3.474 1.226 -2.374 2.174 -1.983 -8.679 -1.780 4.837" Properties=species:S:1:pos:R:3 pbc="T T T"
Dy -5.953 1.934 2.040
Pd 0.000 0.000 0.000
Nd -9.310 2.718 3.315
Nd -2.596 1.150 0.765
```

Entry 17:
This record from Alexandria via LeMat-Bulk describes crystalline NdDy2Pd2 at its relaxed geometry. The functional is PBE.

Results
As for the crystal system: monoclinic. The energy above the most stable polymorph in this dataset is 0.137 eV/atom. As for the formation energy: -0.55 eV per atom. As for the space group: No. 12.

The structure in extended XYZ format:
```
5
Lattice="-0.663 -3.653 2.855 3.487 -2.290 -2.128 2.444 5.363 3.502" Properties=species:S:1:pos:R:3 pbc="T T T"
Dy 1.596 -0.631 3.362
Dy 3.673 0.051 0.868
Pd 3.008 1.839 3.008
Pd 2.261 -2.419 1.221
Nd 0.000 0.000 0.000
```

Entry 18:
This record from Alexandria via LeMat-Bulk describes crystalline NdDyPd at its relaxed geometry. The functional is PBE.

Results
As for the crystal system: cubic. The energy above the most stable polymorph in this dataset is 0.119 eV/atom. As for the formation energy: -0.42 eV per atom. As for the space group: No. 216.

The structure in extended XYZ format:
```
3
Lattice="4.970 0.000 0.000 2.485 4.304 0.000 2.485 1.435 4.058" Properties=species:S:1:pos:R:3 pbc="T T T"
Pd 2.485 1.435 1.014
Nd 0.000 0.000 0.000
Dy 4.970 2.869 2.029
```

Entry 19:
This record from Alexandria via LeMat-Bulk describes crystalline Nd2DyPd at its relaxed geometry. The functional is PBE.

Results
As for the crystal system: tetragonal. The energy above the most stable polymorph in this dataset is 0.085 eV/atom. As for the formation energy: -0.32 eV per atom. As for the space group: No. 123.

The structure in extended XYZ format:
```
4
Lattice="3.702 0.000 0.000 0.000 3.702 0.000 0.000 0.000 8.432" Properties=species:S:1:pos:R:3 pbc="T T T"
Dy 1.851 1.851 4.216
Nd 0.000 0.000 1.725
Nd 0.000 0.000 6.707
Pd 1.851 1.851 0.000
```

Entry 20:
This record from Alexandria via LeMat-Bulk describes crystalline NdDy2Pd at its relaxed geometry. The functional is PBE.

Results
As for the crystal system: tetragonal. The energy above the most stable polymorph in this dataset is 0.039 eV/atom. As for the formation energy: -0.41 eV per atom. As for the space group: No. 123.

The structure in extended XYZ format:
```
4
Lattice="3.588 0.000 0.000 0.000 3.588 0.000 0.000 0.000 8.601" Properties=species:S:1:pos:R:3 pbc="T T T"
Dy 0.000 0.000 6.942
Dy 0.000 0.000 1.659
Pd 1.794 1.794 0.000
Nd 1.794 1.794 4.300
```

Entry 21:
This record from Alexandria via LeMat-Bulk describes crystalline NdDyPd at its relaxed geometry. The functional is PBE.

Results
As for the crystal system: monoclinic. The energy above the most stable polymorph in this dataset is 0.035 eV/atom. As for the formation energy: -0.50 eV per atom. As for the space group: No. 12.

The structure in extended XYZ format:
```
6
Lattice="3.603 0.007 0.000 -0.013 7.269 0.041 -1.799 -1.887 6.153" Properties=species:S:1:pos:R:3 pbc="T T T"
Dy 0.422 -0.855 5.662
Dy 0.408 6.453 2.313
Nd 0.413 2.774 5.688
Nd 0.416 2.824 2.288
Pd 2.212 4.810 3.967
Pd 2.220 0.797 4.009
```

Entry 22:
This record from Alexandria via LeMat-Bulk describes crystalline NdDy2Pd3 at its relaxed geometry. The functional is PBE.

Results
As for the crystal system: orthorhombic. The energy above the most stable polymorph in this dataset is 0.241 eV/atom. As for the formation energy: -0.59 eV per atom. As for the space group: No. 74.

The structure in extended XYZ format:
```
12
Lattice="-4.402 -4.098 -1.306 5.546 -6.475 1.621 -2.081 5.275 4.961" Properties=species:S:1:pos:R:3 pbc="T T T"
Dy -3.554 -3.077 -0.127
Dy -0.779 -6.312 0.685
Dy 2.618 -2.221 5.402
Dy -0.158 1.014 4.590
Pd 4.159 -4.855 1.215
Pd 1.388 -1.620 0.405
Pd 1.960 -6.906 0.563
Pd 1.733 -0.600 3.291
Pd -1.040 2.638 2.480
Pd -0.815 -3.667 -0.248
Nd -1.857 -1.032 2.232
Nd 0.921 -4.265 3.043
```

Entry 23:
This record from Alexandria via LeMat-Bulk describes crystalline NdDy2Pd at its relaxed geometry. The functional is PBE.

Results
As for the crystal system: orthorhombic. The energy above the most stable polymorph in this dataset is 0.000 eV/atom. As for the formation energy: -0.45 eV per atom. As for the space group: No. 62.

The structure in extended XYZ format:
```
16
Lattice="-4.780 -0.113 4.478 -0.473 -7.072 -0.684 6.640 -1.126 7.059" Properties=species:S:1:pos:R:3 pbc="T T T"
Dy 2.126 -3.423 10.124
Dy 1.778 -5.316 3.407
Dy -0.391 -2.995 7.448
Dy 2.641 -6.941 9.079
Dy -0.739 -4.889 0.730
Dy -1.254 -1.371 1.776
Dy 0.123 -6.514 6.402
Dy 1.263 -1.798 4.452
Nd -1.621 -4.022 4.254
Nd 3.008 -4.290 6.600
Nd -2.484 -0.512 5.626
Nd 3.870 -7.800 5.229
Pd 2.173 -1.707 7.797
Pd 1.113 -3.029 1.841
Pd 0.273 -5.282 9.014
Pd -0.786 -6.604 3.057
```

Entry 24:
This record from Alexandria via LeMat-Bulk describes crystalline NdDy2Pd2 at its relaxed geometry. The functional is PBE.

Results
As for the crystal system: tetragonal. The energy above the most stable polymorph in this dataset is 0.000 eV/atom. As for the formation energy: -0.68 eV per atom. As for the space group: No. 127.

The structure in extended XYZ format:
```
10
Lattice="3.883 0.000 0.000 0.000 7.959 0.000 0.000 0.000 7.959" Properties=species:S:1:pos:R:3 pbc="T T T"
Dy 0.000 6.656 6.656
Dy 0.000 2.677 5.282
Dy 0.000 1.303 1.303
Dy 0.000 5.282 2.677
Pd 1.942 6.934 1.025
Pd 1.942 5.004 5.004
Pd 1.942 2.954 2.954
Pd 1.942 1.025 6.934
Nd 1.942 0.000 3.979
Nd 1.942 3.979 0.000
```